W2AuO | PBE+U | optimized geometry

Lattice parameters (Å, degrees): 6.458 6.458 6.189 90.00 90.00 90.00
Fractional positions:
W 0.161 0.250 0.125
W 0.250 0.661 0.375
W 0.250 0.839 0.875
W 0.339 0.250 0.625
W 0.661 0.750 0.625
W 0.750 0.161 0.875
W 0.750 0.339 0.375
W 0.839 0.750 0.125
Au 0.000 0.000 0.500
Au 0.000 0.500 0.750
Au 0.500 0.000 0.250
Au 0.500 0.500 0.000
O 0.000 0.000 0.000
O 0.000 0.500 0.250
O 0.500 0.000 0.750
O 0.500 0.500 0.500

Calculated values
VASP energy: -5.2791 eV per atom
N(E_F): 0.50 states/eV per atom
Symmetry: I-42d, No. 122